Here is CoPtO2F after structural relaxation from Alexandria. Energies are from PBE+U.

Geometry as POSCAR:
```
CoPtO2F
1.0
3.8797 0.0000 0.0000
0.0000 3.8797 0.0000
0.0000 0.0000 3.7208
F Co Pt O
1 1 1 2
Direct
0.0000 0.0000 0.5000 F
0.0000 0.0000 0.0000 Co
0.5000 0.5000 0.5000 Pt
0.0000 0.5000 0.0000 O
0.5000 0.0000 0.0000 O
```

Calculated values
DFT total energy (eV/atom): -4.665
V (Å³ per atom): 11.2